# RbMgPb4 (PBE, optimized geometry)
data_RbMgPb4
_chemical_formula_sum 'Rb1 Mg1 Pb4'
_space_group_name_H-M_alt 'P 1'
_space_group_IT_number 1
_cell_length_a 6.6681
_cell_length_b 6.6681
_cell_length_c 6.6681
_cell_angle_alpha 60.00
_cell_angle_beta 60.00
_cell_angle_gamma 60.00
loop_
_space_group_symop_operation_xyz
'x,y,z'
loop_
_atom_site_label
_atom_site_fract_x
_atom_site_fract_y
_atom_site_fract_z
Rb1 0.0000 0.0000 0.0000
Mg1 0.2500 0.2500 0.2500
Pb1 0.1269 0.6244 0.6244
Pb2 0.6244 0.1269 0.6244
Pb3 0.6244 0.6244 0.1269
Pb4 0.6244 0.6244 0.6244
# ΔE_f, meV per atom: 66
# ρ, g/cm3: 7.4